[1]
Te3Br5, optimized geometry, DFT PBE; formation energy from raw total energies = 0.099 eV per atom; crystal system = orthorhombic; total magnetization = 0.0 Bohr magnetons per cell
1.0
1.667 6.707 4.530
-4.693 2.240 -6.421
-3.164 -0.627 2.093
Te Br
3 5
Direct
0.500 0.500 0.000
0.185 0.815 0.500
0.815 0.185 0.500
0.000 0.000 0.000
0.500 0.000 0.000
0.000 0.500 0.000
0.703 0.703 0.500
0.297 0.297 0.500


[2]
Sr2As3Pd4Au, optimized geometry, DFT PBE; energy relative to the elements = -0.70 eV/atom; crystal system = tetragonal; total magnetization = 0.0 Bohr magnetons per cell
1.0
-2.873 1.602 -3.065
-3.194 0.301 3.151
3.038 9.585 2.163
Sr Pd As Au
2 4 3 1
Direct
0.000 0.500 0.747
0.500 0.000 0.253
0.500 0.000 0.640
0.000 0.500 0.360
0.000 0.000 0.000
0.500 0.500 0.000
0.000 0.500 0.122
0.000 0.000 0.500
0.500 0.000 0.878
0.500 0.500 0.500